# RbAlCuF6

A relaxed RbAlCuF6 crystal (PBE, Alexandria via LeMat-Bulk).

Geometry as POSCAR:
```
RbAlCuF6
1.0
6.9194 0.0000 0.0000
0.0000 7.1722 0.0000
0.0000 0.0000 10.1135
Rb Al Cu F
4 4 4 24
Cartesian
0.1062 1.7931 1.2542
3.3535 5.3792 6.3109
3.5659 1.7931 3.8025
6.8132 5.3792 8.8593
0.0000 0.0000 5.0567
0.0000 3.5861 5.0567
3.4597 0.0000 0.0000
3.4597 3.5861 0.0000
1.4056 1.7931 7.7028
2.0541 5.3792 2.6461
4.8653 1.7931 7.4674
5.5137 5.3792 2.4106
0.3706 1.7931 4.7869
0.3814 5.3792 1.7017
0.9073 0.0317 6.6346
0.9073 3.5544 6.6346
1.5512 3.9774 4.1985
1.5512 6.7809 4.1985
1.9085 0.3913 9.2552
1.9085 3.1948 9.2552
2.5523 3.6178 1.5778
2.5523 7.1406 1.5778
3.0783 1.7931 6.7584
3.0891 5.3792 9.8436
3.8302 1.7931 0.2698
3.8411 5.3792 3.3551
4.3670 0.0317 8.5357
4.3670 3.5544 8.5357
5.0109 3.9774 0.8583
5.0109 6.7809 0.8583
5.3681 0.3913 5.9150
5.3681 3.1948 5.9150
6.0120 3.6178 3.4789
6.0120 7.1406 3.4789
6.5379 1.7931 8.4118
6.5488 5.3792 5.3266
```

Output
- Calculated volume: 501.9 Å³/cell
- Space-group type: Pnma
- Formation energy without anion corrections: -2.7543 eV per atom
- ΔE to the lowest computed polymorph: 0.000 eV/atom
- DOS(E_F): 18.25 states/eV/cell



# Al2CuSeF

A relaxed Al2CuSeF crystal (PBE, Alexandria via LeMat-Bulk).

Geometry as POSCAR:
```
Al2CuSeF
1.0
5.0495 0.0000 0.0000
0.0000 5.0495 0.0000
0.0000 0.0000 4.0929
Al Cu Se F
2 1 1 1
Cartesian
0.0000 2.5247 0.0000
2.5247 0.0000 0.0000
0.0000 0.0000 2.0464
2.5247 2.5247 0.0000
2.5247 2.5247 2.0464
```

Output
- Calculated volume: 104.4 Å³/cell
- Space-group type: P4/mmm
- Formation energy without anion corrections: 0.2245 eV per atom
- DOS(E_F): 2.72 states/eV/cell



# AlCuSi2F

A relaxed AlCuSi2F crystal (PBE, Alexandria via LeMat-Bulk).

Geometry as POSCAR:
```
AlCuSi2F
1.0
4.3875 0.0000 0.0000
0.0000 4.3875 0.0000
0.0000 0.0000 4.1284
Al Cu Si F
1 1 2 1
Cartesian
0.0000 0.0000 0.0000
2.1938 2.1938 0.0000
0.0000 2.1938 2.0642
2.1938 0.0000 2.0642
2.1938 2.1938 2.0642
```

Output
- Calculated volume: 79.5 Å³/cell
- Space-group type: P4/mmm
- Formation energy without anion corrections: 0.2897 eV per atom
- DOS(E_F): 1.95 states/eV/cell



# Al2CuSnF

A relaxed Al2CuSnF crystal (PBE, Alexandria via LeMat-Bulk).

Geometry as POSCAR:
```
Al2CuSnF
1.0
5.4936 0.0000 0.0000
0.0000 5.4936 0.0000
0.0000 0.0000 4.8464
Al Cu Sn F
2 1 1 1
Cartesian
0.0000 2.7468 0.0000
2.7468 0.0000 0.0000
0.0000 0.0000 2.4232
0.0000 0.0000 0.0000
2.7468 2.7468 2.4232
```

Output
- Calculated volume: 146.3 Å³/cell
- Space-group type: P4/mmm
- Formation energy without anion corrections: 0.3452 eV per atom
- DOS(E_F): 1.54 states/eV/cell